1.
CsRbTlCl6: optimized geometry, PBE.

Structure (POSCAR):
```
CsRbTlCl6
1.0
-1.7855 6.1229 4.7732
-2.8535 -1.3518 7.3132
6.6567 -0.0726 2.5812
Cl Rb Cs Tl
6 1 1 1
Direct
0.6159 0.0671 0.2961
0.0676 0.3176 0.2949
0.6159 0.3170 0.7039
0.0676 0.6148 0.7050
0.3163 0.6165 0.2964
0.3164 0.0671 0.7037
0.6671 0.6665 0.5000
0.9996 0.0002 0.0000
0.3336 0.3332 0.5000
```

Properties
Calculated volume ... 43.6 Å³/atom
Crystal system ... monoclinic
Uncorrected formation energy ... -1.086 eV/atom
Total magnetization ... 0.046 μB/atom

2.
Cs2RbTl3Cl6: optimized geometry, PBE.

Structure (POSCAR):
```
Cs2RbTl3Cl6
1.0
4.7656 0.0000 0.0000
0.0000 9.4777 0.3916
-2.3828 -2.6779 10.0056
Cl Tl Cs Rb
6 3 2 1
Direct
0.3386 0.4097 0.6772
0.9945 0.2482 0.9890
0.6614 0.5903 0.3228
0.3357 0.9374 0.6714
0.6643 0.0626 0.3286
0.0055 0.7518 0.0110
0.1634 0.8317 0.3268
0.8366 0.1683 0.6732
0.5000 0.5000 0.0000
0.1663 0.3274 0.3327
0.8337 0.6726 0.6673
0.5000 0.0000 0.0000
```

Properties
Calculated volume ... 38.1 Å³/atom
Crystal system ... monoclinic
Uncorrected formation energy ... -1.482 eV/atom
Total magnetization ... 0.000 μB/atom

3.
CsRbTl2Cl4: optimized geometry, PBE.

Structure (POSCAR):
```
CsRbTl2Cl4
1.0
4.7492 0.0000 0.0000
0.0000 8.1745 -0.1409
0.0000 2.8961 7.6887
Cl Cs Rb Tl
4 1 1 2
Direct
0.0000 0.7591 0.7534
0.5000 0.2349 0.7618
0.0000 0.2409 0.2466
0.5000 0.7651 0.2382
0.0000 0.5000 0.5000
0.5000 0.5000 0.0000
0.0000 0.0000 0.0000
0.5000 0.0000 0.5000
```

Properties
Calculated volume ... 37.6 Å³/atom
Crystal system ... monoclinic
Uncorrected formation energy ... -1.480 eV/atom
Total magnetization ... 0.000 μB/atom

4.
Cs2RbTmCl6: optimized geometry, PBE.

Structure (POSCAR):
```
Cs2RbTmCl6
1.0
-5.2471 0.5730 -6.1792
-5.8825 -5.5397 -0.8625
-7.7385 2.0361 1.4161
Cs Cl Tm Rb
2 6 1 1
Direct
0.7500 0.7500 0.7500
0.2500 0.2500 0.2500
0.7734 0.7733 0.2267
0.2266 0.2267 0.7733
0.2267 0.7733 0.7733
0.7733 0.2267 0.2267
0.7734 0.2267 0.7733
0.2266 0.7733 0.2267
0.0000 0.0000 0.0000
0.5000 0.5000 0.5000
```

Properties
Calculated volume ... 37.9 Å³/atom
Crystal system ... cubic
Uncorrected formation energy ... -2.151 eV/atom
Total magnetization ... 0.000 μB/atom

5.
Cs2RbUCl6: optimized geometry, PBE.

Structure (POSCAR):
```
Cs2RbUCl6
1.0
-3.9925 -6.7668 1.5440
7.6212 -3.9257 2.5022
-1.7893 3.5814 11.0689
Cl Rb U Cs
12 2 2 4
Direct
0.2598 0.5897 0.0000
0.5000 0.2044 0.2659
0.0000 0.7956 0.7659
0.0000 0.7956 0.2341
0.7598 0.4103 0.5000
0.7633 0.0161 0.0000
0.7367 0.9839 0.5000
0.2402 0.4103 0.5000
0.5000 0.2044 0.7341
0.2367 0.0161 0.0000
0.7402 0.5897 0.0000
0.2633 0.9839 0.5000
0.0000 0.7022 0.5000
0.5000 0.2978 0.0000
0.5000 0.2104 0.5000
0.0000 0.7896 0.0000
0.5000 0.8143 0.2122
0.5000 0.8143 0.7878
0.0000 0.1857 0.7122
0.0000 0.1857 0.2878
```

Properties
Calculated volume ... 42.1 Å³/atom
Crystal system ... orthorhombic
Uncorrected formation energy ... -1.888 eV/atom
Total magnetization ... 0.300 μB/atom

6.
CsRb2UCl8: optimized geometry, PBE.

Structure (POSCAR):
```
CsRb2UCl8
1.0
5.9716 -0.9300 0.0005
-0.9924 7.8358 -0.0066
0.0067 0.0108 10.4538
Cl Rb Cs U
8 2 1 1
Direct
0.0960 0.8088 0.8251
0.4149 0.7364 0.4999
0.9040 0.1912 0.1749
0.5985 0.7887 0.9999
0.0955 0.8084 0.1748
0.9045 0.1916 0.8252
0.4015 0.2113 0.0001
0.5851 0.2636 0.5001
0.4996 0.4999 0.7230
0.5004 0.5001 0.2770
0.0000 0.0000 0.5000
0.0000 0.0000 0.0000
```

Properties
Calculated volume ... 40.0 Å³/atom
Crystal system ... monoclinic
Uncorrected formation energy ... -1.789 eV/atom
Total magnetization ... 0.080 μB/atom